[1]
DFT (PBE) results for La4PrRh2 after structural relaxation.

abc: 8.1537 6.7119 8.3822
angles: 90.00 115.65 90.00
With the nearest neighbours (Å) after each atom.
Space group P2_1/m (No. 11)
One atom of each set of equivalent atoms:
La 0.1255 0.2500 0.4870 x2  2 Rh 2.71-2.78
La 0.1563 0.7500 0.2230 x2  2 Rh 2.70-2.88
La 0.2819 0.5075 0.9137 x4  4 La 3.21-3.57, 4 Rh 3.24-3.49
Pr 0.4761 0.2500 0.3484 x2  2 Rh 2.88-3.08
Rh 0.0864 0.2500 0.1496 x2  2 La 2.71-2.88, 1 Pr 2.88
Rh 0.4922 0.2500 0.7225 x2  2 La 2.70-2.78

Values from the calculation:
calculated total energy: -6.0034 eV per atom
DOS(E_F): 14.7 states/eV/cell
formation energy from the elements: -0.405 eV/atom


[2]
DFT (PBE) results for La2Pr2Rh3 after structural relaxation.

abc: 8.9772 8.9772 8.9772
angles: 90.00 90.00 90.00
With the nearest neighbours (Å) after each atom.
Space group I2_13 (No. 199)
One atom of each set of equivalent atoms:
La 0.0564 0.4436 0.5564 x8  3 Rh 2.84
Pr 0.1924 0.1924 0.1924 x8  3 Rh 2.90
Rh 0.0000 0.2500 0.8865 x12  2 La 2.84, 2 Pr 2.90

Values from the calculation:
calculated total energy: -6.5847 eV per atom
DOS(E_F): 18.6 states/eV/cell
energy above the lowest structure with this stoichiometry: 0.000 eV/atom
formation energy from the elements: -0.661 eV/atom


[3]
DFT (PBE) results for LaPr3Rh3 after structural relaxation.

abc: 9.5979 10.5566 7.2533
angles: 90.00 90.52 90.00
With the nearest neighbours (Å) after each atom.
Space group C2/m (No. 12)
One atom of each set of equivalent atoms:
La 0.2470 0.0000 0.1306 x4  4 Rh 2.77-3.05
Pr 0.0000 0.1795 0.5000 x4  6 Rh 2.96-3.00
Pr 0.0000 0.2476 0.0000 x4  6 Rh 3.04-3.16
Pr 0.1725 0.5000 0.3769 x4  3 Rh 2.85-2.92
Rh 0.0664 0.0000 0.8062 x4  5 Pr 2.85-3.04, 2 La 2.91-3.05, 1 Rh 3.10
Rh 0.2460 0.2582 0.7199 x8  1 La 2.77, 3 Pr 2.92-3.00

Values from the calculation:
calculated total energy: -6.4461 eV per atom
DOS(E_F): 20.9 states/eV/cell
energy above the lowest structure with this stoichiometry: 0.019 eV/atom
formation energy from the elements: -0.543 eV/atom


[4]
DFT (PBE) results for LaPrSb2Rh5 after structural relaxation.

abc: 4.5076 4.5076 9.0873
angles: 90.00 90.00 90.00
With the nearest neighbours (Å) after each atom.
Space group P4/mmm (No. 123)
One atom of each set of equivalent atoms:
La 0.0000 0.0000 0.0000 x1  12 Rh 2.98-3.19
Pr 0.0000 0.0000 0.5000 x1  8 Rh 3.43, 8 Sb 3.50
Sb 0.5000 0.5000 0.3403 x2  4 Rh 2.52
Rh 0.0000 0.5000 0.2151 x4  2 Sb 2.52
Rh 0.5000 0.5000 0.0000 x1  8 Rh 2.98, 2 Sb 3.09, 4 La 3.19

Values from the calculation:
calculated total energy: -6.6479 eV per atom
DOS(E_F): 5.6 states/eV/cell
energy relative to the elements, uncorrected: -0.569 eV/atom


[5]
DFT (PBE) results for LaPrTlRh after structural relaxation.

abc: 7.5590 7.5590 7.5590
angles: 90.00 90.00 90.00
With the nearest neighbours (Å) after each atom.
Space group F-43m (No. 216)
One atom of each set of equivalent atoms:
La 0.0000 0.0000 0.0000 x4  4 Rh 3.27, 4 Tl 3.27
Pr 0.0000 0.0000 0.5000 x4  4 Tl 3.27, 4 Rh 3.27
Tl 0.2500 0.2500 0.2500 x4  4 La 3.27, 4 Pr 3.27
Rh 0.2500 0.2500 0.7500 x4  4 La 3.27, 4 Pr 3.27

Values from the calculation:
calculated total energy: -5.2389 eV per atom
DOS(E_F): 14.4 states/eV/cell
formation energy from the elements: -0.383 eV/atom


[6]
DFT (PBE) results for La2Pr2Ru after structural relaxation.

abc: 5.0068 5.0068 26.1456
angles: 90.00 90.00 90.00
With the nearest neighbours (Å) after each atom.
Space group I4_1/amd (No. 141, origin choice 2)
One atom of each set of equivalent atoms:
La 0.0000 0.2500 0.0656 x8  2 Ru 2.95
Pr 0.0000 0.2500 0.1960 x8  2 Ru 3.12, 1 La 3.41
Ru 0.0000 0.2500 0.8750 x4  4 La 2.95, 4 Pr 3.12

Values from the calculation:
calculated total energy: -5.7775 eV per atom
DOS(E_F): 21.8 states/eV/cell
formation energy from the elements: -0.040 eV/atom